## LiTl2HgSe4 (PBE-GGA)

Data for an optimized crystal structure of LiTl2HgSe4.

Cell lengths 7.6055, 7.5628, 6.3817 Å; angles 65.47, 64.77, 49.76 degrees
Fractional coordinates of all 8 atoms:
Li 0.0000 0.0000 0.0000
Tl 0.2493 0.2493 0.2507
Tl 0.7493 0.7493 0.7507
Hg 0.4994 0.4994 0.5006
Se 0.1289 0.6430 0.3570
Se 0.3596 0.8752 0.6404
Se 0.6430 0.1289 0.8711
Se 0.8752 0.3596 0.1248

Results
* E_form (uncorrected): -0.398 eV per atom
* energy: -3.009 eV per atom
* V: 31.0 Å³/atom
* space group: Fmm2 (42)
* density of states at the Fermi level: 2.863 states/eV per cell

***

## Li3U3HgSe8 (PBE-GGA)

Data for an optimized crystal structure of Li3U3HgSe8.

Cell lengths 8.0471, 8.0471, 8.0471 Å; angles 60.00, 60.00, 60.00 degrees
Fractional coordinates of all 15 atoms:
Li 0.0000 0.5000 0.5000
Li 0.5000 0.0000 0.5000
Li 0.5000 0.5000 0.0000
U 0.0000 0.0000 0.5000
U 0.0000 0.5000 0.0000
U 0.5000 0.0000 0.0000
Hg 0.5000 0.5000 0.5000
Se 0.2431 0.7563 0.7563
Se 0.2437 0.2437 0.7569
Se 0.2437 0.7569 0.2437
Se 0.2535 0.2535 0.2535
Se 0.7465 0.7465 0.7465
Se 0.7563 0.2431 0.7563
Se 0.7563 0.7563 0.2431
Se 0.7569 0.2437 0.2437

Results
* E_form (uncorrected): -1.009 eV per atom
* energy: -5.527 eV per atom
* V: 24.6 Å³/atom
* space group: R-3m (166)
* density of states at the Fermi level: 12.470 states/eV per cell

***

## Li2YHgSe (PBE-GGA)

Data for an optimized crystal structure of Li2YHgSe.

Cell lengths 4.5423, 4.5423, 6.3499 Å; angles 90.00, 90.00, 90.00 degrees
Fractional coordinates of all 5 atoms:
Li 0.0000 0.5000 0.0000
Li 0.5000 0.0000 0.0000
Y 0.0000 0.0000 0.5000
Hg 0.5000 0.5000 0.0000
Se 0.5000 0.5000 0.5000

Results
* E_form (uncorrected): -0.123 eV per atom
* energy: -2.939 eV per atom
* V: 26.2 Å³/atom
* space group: P4/mmm (123)
* density of states at the Fermi level: 2.951 states/eV per cell

***

## Li2ZrHgSe4 (PBE-GGA)

Data for an optimized crystal structure of Li2ZrHgSe4.

Cell lengths 6.8759, 3.9225, 7.1664 Å; angles 90.00, 112.61, 90.00 degrees
Fractional coordinates of all 8 atoms:
Li 0.0000 0.0000 0.0000
Li 0.0000 0.5000 0.5000
Zr 0.5000 0.0000 0.5000
Hg 0.5000 0.5000 0.0000
Se 0.2375 0.5000 0.2751
Se 0.2670 0.0000 0.7366
Se 0.7330 0.0000 0.2634
Se 0.7625 0.5000 0.7249

Results
* E_form (uncorrected): -0.946 eV per atom
* energy: -4.273 eV per atom
* V: 22.3 Å³/atom
* space group: P2/m (10)
* density of states at the Fermi level: 0.232 states/eV per cell

***

## LiZr2Hg2Se6 (PBE-GGA)

Data for an optimized crystal structure of LiZr2Hg2Se6.

Cell lengths 6.8610, 6.8610, 7.4372 Å; angles 99.19, 99.19, 120.77 degrees
Fractional coordinates of all 11 atoms:
Li 0.0000 0.0000 0.0000
Zr 0.3388 0.6612 0.0000
Zr 0.6612 0.3388 0.0000
Hg 0.1736 0.8264 0.5000
Hg 0.8264 0.1736 0.5000
Se 0.0710 0.4281 0.2216
Se 0.2568 0.2568 0.7860
Se 0.4281 0.0710 0.2216
Se 0.5719 0.9290 0.7784
Se 0.7432 0.7432 0.2140
Se 0.9290 0.5719 0.7784

Results
* E_form (uncorrected): -0.820 eV per atom
* energy: -4.504 eV per atom
* V: 25.9 Å³/atom
* space group: C2/m (12)
* density of states at the Fermi level: 3.243 states/eV per cell

***

## Li2SiHg (PBE-GGA)

Data for an optimized crystal structure of Li2SiHg.

Cell lengths 7.3746, 7.3746, 5.4920 Å; angles 90.00, 90.00, 90.00 degrees
Fractional coordinates of all 16 atoms:
Li 0.2388 0.2500 0.1250
Li 0.2500 0.7388 0.3750
Li 0.2500 0.7612 0.8750
Li 0.2612 0.2500 0.6250
Li 0.7388 0.7500 0.6250
Li 0.7500 0.2388 0.8750
Li 0.7500 0.2612 0.3750
Li 0.7612 0.7500 0.1250
Si 0.0000 0.0000 0.0000
Si 0.0000 0.5000 0.2500
Si 0.5000 0.0000 0.7500
Si 0.5000 0.5000 0.5000
Hg 0.0000 0.0000 0.5000
Hg 0.0000 0.5000 0.7500
Hg 0.5000 0.0000 0.2500
Hg 0.5000 0.5000 0.0000

Results
* E_form (uncorrected): 0.068 eV per atom
* energy: -2.320 eV per atom
* V: 18.7 Å³/atom
* space group: I-42d (122)
* density of states at the Fermi level: 5.870 states/eV per cell